[1]
6
Lattice="0.0000 3.2879 3.2879 3.2879 0.0000 3.2879 3.2879 3.2879 0.0000" Properties=species:S:1:pos:R:3 comment="Be4HgAu, optimized geometry, DFT PBE" formation_energy_ev_per_atom=0.135 pbc="T T T"
Be 2.4734 2.4734 2.4734
Be 4.1025 4.1025 2.4734
Be 4.1025 2.4734 4.1025
Be 2.4734 4.1025 4.1025
Hg 0.0000 0.0000 0.0000
Au 4.9319 4.9319 4.9319


[2]
4
Lattice="-1.4459 2.2238 5.9749 1.4459 -2.2238 5.9749 1.4459 2.2238 -5.9749" Properties=species:S:1:pos:R:3 comment="BeHg2Au, optimized geometry, DFT PBE" formation_energy_ev_per_atom=0.151 pbc="T T T"
Be 0.0000 0.0000 0.0000
Hg 1.4459 0.0000 2.5300
Hg 0.0000 0.0000 6.2445
Au 0.0000 2.2238 4.0798


[3]
4
Lattice="4.2488 0.0000 0.0000 0.0000 4.2488 0.0000 0.0000 0.0000 3.1073" Properties=species:S:1:pos:R:3 comment="Be2HgAu, optimized geometry, DFT PBE" formation_energy_ev_per_atom=0.225 pbc="T T T"
Be 0.0000 2.1244 0.0000
Be 2.1244 0.0000 0.0000
Hg 0.0000 0.0000 1.5537
Au 2.1244 2.1244 1.5537


[4]
12
Lattice="6.6921 -3.1674 0.0000 6.6921 3.1674 0.0000 -1.9147 0.0000 5.0589" Properties=species:S:1:pos:R:3 comment="BeHgAu4, optimized geometry, DFT PBE" relative_energy_ev_per_atom=0.000 formation_energy_ev_per_atom=-0.012 pbc="T T T"
Be -0.5526 0.0000 1.5165
Be 12.0222 0.0000 3.5424
Hg 2.3251 0.0000 4.3940
Hg 9.1445 0.0000 0.6649
Au 4.4099 1.4548 2.0091
Au 2.0486 0.0000 1.3291
Au 6.6921 1.4659 0.0000
Au 7.0597 1.4548 3.0498
Au 4.4099 -1.4548 2.0091
Au 6.6921 -1.4659 0.0000
Au 9.4210 0.0000 3.7298
Au 7.0597 -1.4548 3.0498